Here is AgTeF3 after structural relaxation from Alexandria. Energies are from GGA-PBE.

abc: 4.465 4.465 4.465
angles: 90.00 90.00 90.00
Space group Pm-3m (No. 221)
Asymmetric unit:
Ag (0.000, 0.000, 0.000)
Te (0.500, 0.500, 0.500)
F (0.000, 0.000, 0.500)

Total energy = -3.028 eV per atom
Polymorph energy (0 for the lowest one) = 185 meV/atom
DOS(E_F) = 0.74 states/eV/atom
Crystal system = cubic